{"formula": "KCaCeNbO6", "functional": "PBE", "state": "optimized geometry", "formation_energy_uncorrected_ev_per_atom": -2.71, "space_group": "F-43m (216)", "dft_energy_ev_per_cell": -75.97, "lattice_angstrom": [[-0.218, -4.291, 4.174], [-4.784, -0.461, 3.575], [-3.779, -4.604, -0.632]], "species": ["K", "Ca", "Ce", "Nb", "O", "O", "O", "O", "O", "O"], "fractional_positions": [[0.250, 0.250, 0.250], [0.750, 0.750, 0.750], [0.000, 0.000, 0.000], [0.500, 0.500, 0.500], [0.263, 0.737, 0.263], [0.737, 0.263, 0.737], [0.263, 0.737, 0.737], [0.737, 0.263, 0.263], [0.263, 0.263, 0.737], [0.737, 0.737, 0.263]]}

{"formula": "K3CaCe3O8", "functional": "PBE", "state": "optimized geometry", "formation_energy_uncorrected_ev_per_atom": -2.75, "space_group": "R-3m (166)", "dft_energy_ev_per_cell": -104.05, "lattice_angstrom": [[-2.411, -6.720, 0.221], [6.723, 1.448, 1.930], [-5.567, 2.147, 4.558]], "species": ["K", "K", "K", "Ca", "Ce", "Ce", "Ce", "O", "O", "O", "O", "O", "O", "O", "O"], "fractional_positions": [[0.000, 0.000, 0.000], [0.000, 0.500, 0.000], [0.500, 0.500, 0.000], [0.000, 0.000, 0.500], [0.500, 0.000, 0.500], [0.500, 0.500, 0.500], [0.000, 0.500, 0.500], [0.270, 0.539, 0.309], [0.730, 0.461, 0.691], [0.771, 0.542, 0.328], [0.229, 0.458, 0.672], [0.771, 0.057, 0.328], [0.229, 0.943, 0.672], [0.286, 0.057, 0.328], [0.714, 0.943, 0.672]]}

{"formula": "K2CaCeO4", "functional": "PBE", "state": "optimized geometry", "formation_energy_uncorrected_ev_per_atom": -2.57, "space_group": "P2/m (10)", "dft_energy_ev_per_cell": -50.56, "lattice_angstrom": [[-0.489, -0.359, 3.545], [2.042, -5.717, -0.298], [5.130, 3.904, 1.103]], "species": ["K", "K", "Ca", "Ce", "O", "O", "O", "O"], "fractional_positions": [[0.500, 0.000, 0.500], [0.000, 0.500, 0.500], [0.000, 0.000, 0.000], [0.500, 0.500, 0.000], [0.500, 0.251, 0.186], [0.500, 0.749, 0.814], [0.000, 0.283, 0.810], [0.000, 0.717, 0.190]]}

{"formula": "K3CaCe2S6", "functional": "PBE", "state": "optimized geometry", "formation_energy_uncorrected_ev_per_atom": -1.79, "space_group": "C2/m (12)", "dft_energy_ev_per_cell": -63.42, "lattice_angstrom": [[-6.119, -3.767, 0.764], [5.248, -0.594, 4.932], [-2.647, 6.995, 1.895]], "species": ["K", "K", "K", "Ca", "Ce", "Ce", "S", "S", "S", "S", "S", "S"], "fractional_positions": [[0.164, 0.836, 0.500], [0.836, 0.164, 0.500], [0.500, 0.500, 0.500], [0.000, 0.000, 0.000], [0.333, 0.667, 0.000], [0.667, 0.333, 0.000], [0.932, 0.590, 0.796], [0.725, 0.725, 0.203], [0.068, 0.410, 0.204], [0.590, 0.932, 0.796], [0.275, 0.275, 0.797], [0.410, 0.068, 0.204]]}

{"formula": "K3Ca2CeS6", "functional": "PBE", "state": "optimized geometry", "formation_energy_uncorrected_ev_per_atom": -1.59, "space_group": "C2/m (12)", "dft_energy_ev_per_cell": -57.09, "lattice_angstrom": [[-2.068, 1.906, 6.639], [-4.121, -4.424, -3.929], [5.612, -4.917, 1.855]], "species": ["K", "K", "K", "Ca", "Ca", "Ce", "S", "S", "S", "S", "S", "S"], "fractional_positions": [[0.170, 0.830, 0.500], [0.830, 0.170, 0.500], [0.500, 0.500, 0.500], [0.333, 0.667, 0.000], [0.667, 0.333, 0.000], [0.000, 0.000, 0.000], [0.932, 0.611, 0.797], [0.747, 0.747, 0.204], [0.068, 0.389, 0.203], [0.611, 0.932, 0.797], [0.253, 0.253, 0.796], [0.389, 0.068, 0.203]]}

{"formula": "K3CaCe2Se6", "functional": "PBE", "state": "optimized geometry", "formation_energy_uncorrected_ev_per_atom": -1.69, "space_group": "C2/m (12)", "dft_energy_ev_per_cell": -58.39, "lattice_angstrom": [[-3.891, 6.123, -1.946], [-3.136, -6.796, -0.619], [-0.320, 0.802, 7.991]], "species": ["K", "K", "K", "Ca", "Ce", "Ce", "Se", "Se", "Se", "Se", "Se", "Se"], "fractional_positions": [[0.164, 0.836, 0.500], [0.836, 0.164, 0.500], [0.500, 0.500, 0.500], [0.000, 0.000, 0.000], [0.333, 0.667, 0.000], [0.667, 0.333, 0.000], [0.931, 0.589, 0.793], [0.727, 0.727, 0.207], [0.069, 0.411, 0.207], [0.589, 0.931, 0.793], [0.273, 0.273, 0.793], [0.411, 0.069, 0.207]]}

{"formula": "K4CaCe3Se8", "functional": "PBE", "state": "optimized geometry", "formation_energy_uncorrected_ev_per_atom": -1.70, "space_group": "R-3m (166)", "dft_energy_ev_per_cell": -79.21, "lattice_angstrom": [[8.700, 0.000, 0.000], [0.000, 9.139, 0.300], [-4.350, -4.345, 6.155]], "species": ["K", "K", "K", "K", "Ca", "Ce", "Ce", "Ce", "Se", "Se", "Se", "Se", "Se", "Se", "Se", "Se"], "fractional_positions": [[0.500, 0.000, 0.000], [0.500, 0.000, 0.500], [0.000, 0.000, 0.000], [0.000, 0.000, 0.500], [0.000, 0.500, 0.000], [0.500, 0.500, 0.000], [0.500, 0.500, 0.500], [0.000, 0.500, 0.500], [0.239, 0.707, 0.968], [0.239, 0.707, 0.478], [0.264, 0.291, 0.527], [0.729, 0.707, 0.968], [0.271, 0.293, 0.032], [0.736, 0.709, 0.473], [0.761, 0.293, 0.522], [0.761, 0.293, 0.032]]}

{"formula": "KCaCe2Te4", "functional": "PBE", "state": "optimized geometry", "formation_energy_uncorrected_ev_per_atom": -1.37, "space_group": "P2/m (10)", "dft_energy_ev_per_cell": -38.53, "lattice_angstrom": [[4.556, 0.000, 0.000], [0.000, 8.130, -0.253], [0.000, 2.769, 7.460]], "species": ["K", "Ca", "Ce", "Ce", "Te", "Te", "Te", "Te"], "fractional_positions": [[0.500, 0.500, 0.000], [0.000, 0.500, 0.500], [0.000, 0.000, 0.000], [0.500, 0.000, 0.500], [0.000, 0.765, 0.736], [0.000, 0.235, 0.264], [0.500, 0.755, 0.257], [0.500, 0.245, 0.743]]}

{"formula": "K2CaCeTe4", "functional": "PBE", "state": "optimized geometry", "formation_energy_uncorrected_ev_per_atom": -1.32, "space_group": "P2/m (10)", "dft_energy_ev_per_cell": -33.25, "lattice_angstrom": [[4.637, 0.000, 0.000], [0.000, 7.922, 0.131], [0.000, -2.788, 8.134]], "species": ["K", "K", "Ca", "Ce", "Te", "Te", "Te", "Te"], "fractional_positions": [[0.500, 0.000, 0.500], [0.000, 0.500, 0.500], [0.500, 0.500, 0.000], [0.000, 0.000, 0.000], [0.500, 0.227, 0.209], [0.500, 0.773, 0.791], [0.000, 0.252, 0.790], [0.000, 0.748, 0.210]]}

{"formula": "CaLa14Ce", "functional": "PBE", "state": "optimized geometry", "ef_ev_per_atom": 0.029, "space_group": "P4/mmm (123)", "dft_energy_ev_per_cell": -76.46, "lattice_angstrom": [[-5.203, -5.329, -0.015], [1.858, -1.795, -6.985], [7.045, -6.889, 3.644]], "species": ["Ca", "La", "La", "La", "La", "La", "La", "La", "La", "La", "La", "La", "La", "La", "La", "Ce"], "fractional_positions": [[0.875, 0.875, 0.500], [0.875, 0.875, 0.000], [0.375, 0.375, 0.000], [0.875, 0.375, 0.500], [0.875, 0.375, 0.000], [0.375, 0.875, 0.500], [0.375, 0.875, 0.000], [0.617, 0.133, 0.250], [0.617, 0.133, 0.750], [0.133, 0.617, 0.250], [0.133, 0.617, 0.750], [0.617, 0.617, 0.250], [0.617, 0.617, 0.750], [0.133, 0.133, 0.250], [0.133, 0.133, 0.750], [0.375, 0.375, 0.500]]}

{"formula": "CaLa2Ce", "functional": "PBE", "state": "optimized geometry", "e_above_lowest_polymorph_ev_per_atom": 0.109, "ef_ev_per_atom": 0.161, "space_group": "P4/mmm (123)", "dft_energy_ev_per_cell": -17.15, "lattice_angstrom": [[-0.333, 4.364, -2.639], [-4.502, 1.190, 2.535], [2.779, 2.489, 3.767]], "species": ["Ca", "Ce", "La", "La"], "fractional_positions": [[0.500, 0.000, 0.000], [0.500, 0.500, 0.500], [0.000, 0.000, 0.500], [0.000, 0.500, 0.000]]}

{"formula": "CaLaCe", "functional": "PBE", "state": "optimized geometry", "e_above_lowest_polymorph_ev_per_atom": 0.023, "ef_ev_per_atom": 0.131, "space_group": "P3m1 (156)", "dft_energy_ev_per_cell": -12.47, "lattice_angstrom": [[-0.202, -3.275, -1.618], [3.257, 1.384, 0.928], [-0.637, -4.052, 8.279]], "species": ["Ca", "Ce", "La"], "fractional_positions": [[0.000, 0.000, 0.994], [0.333, 0.667, 0.657], [0.667, 0.333, 0.350]]}